# FeAgHgGe

Crystalline FeAgHgGe at its relaxed geometry (PBE, OQMD via LeMat-Bulk).

Properties
Distance to the lowest polymorph of the same formula, meV/atom: 0
Total energy, eV/cell: -14.48

```
FeAgHgGe
1.0
0.000 3.274 3.274
3.274 0.000 3.274
3.274 3.274 0.000
Fe Ag Hg Ge
1 1 1 1
Cartesian
0.000 0.000 0.000
3.274 3.274 3.274
1.637 1.637 1.637
4.911 4.911 4.911
```

# LuFeAgGe

Crystalline LuFeAgGe at its relaxed geometry (PBE, OQMD via LeMat-Bulk).

Properties
Distance to the lowest polymorph of the same formula, meV/atom: 99
Total energy, eV/cell: -20.28

```
LuFeAgGe
1.0
0.000 3.261 3.261
3.261 0.000 3.261
3.261 3.261 0.000
Lu Fe Ag Ge
1 1 1 1
Cartesian
0.000 0.000 0.000
4.891 4.891 4.891
1.630 1.630 1.630
3.261 3.261 3.261
```

# LuFeAgGe

Crystalline LuFeAgGe at its relaxed geometry (PBE, OQMD via LeMat-Bulk).

Properties
Distance to the lowest polymorph of the same formula, meV/atom: 0
Total energy, eV/cell: -20.68

```
LuFeAgGe
1.0
0.000 3.298 3.298
3.298 0.000 3.298
3.298 3.298 0.000
Lu Fe Ag Ge
1 1 1 1
Cartesian
0.000 0.000 0.000
3.298 3.298 3.298
4.946 4.946 4.946
1.649 1.649 1.649
```

# MgFeAgGe

Crystalline MgFeAgGe at its relaxed geometry (PBE, OQMD via LeMat-Bulk).

Properties
Distance to the lowest polymorph of the same formula, meV/atom: 0
Total energy, eV/cell: -16.72

```
MgFeAgGe
1.0
0.000 3.161 3.161
3.161 0.000 3.161
3.161 3.161 0.000
Mg Fe Ag Ge
1 1 1 1
Cartesian
0.000 0.000 0.000
4.742 4.742 4.742
1.581 1.581 1.581
3.161 3.161 3.161
```